VASP calculation (GGA-PBE) on an optimized crystal structure of GeBiIr2Ru.

Uncorrected energy = -30.34 eV per cell
Magnetization = 0.000 μB/f.u.
Formation energy = 1030.3 meV per atom

a = 4.824 Å, b = 4.824 Å, c = 4.628 Å
α = 90.00°, β = 90.00°, γ = 90.00°
Space group P4/mmm (No. 123)
One atom of each set of equivalent atoms:
Ge1 0.000 0.000 0.000 (multiplicity 1)
Bi1 0.500 0.500 0.000 (multiplicity 1)
Ir1 0.000 0.500 0.500 (multiplicity 2)
Ru1 0.000 0.000 0.500 (multiplicity 1)